Compound: Ba5Au4
Source: Alexandria via LeMat-Bulk
Functional: PBE-GGA
Structure: relaxed

POSCAR file:
```
Ba5Au4
1.0
-7.608 -6.165 -1.512
2.785 2.260 9.236
-4.977 6.142 -0.002
Au Ba
8 10
Cartesian
-0.138 2.433 3.667
-4.265 -0.913 -0.601
-4.152 -0.819 4.657
-8.320 0.889 -0.913
-2.053 5.969 5.567
0.000 0.000 0.000
-5.648 3.056 3.066
-2.488 3.071 -0.001
-6.868 -3.022 -1.118
-3.168 2.523 5.653
-2.502 0.517 2.014
0.815 3.206 6.826
-5.717 2.998 -0.396
-0.679 -0.548 5.654
-4.143 -3.357 2.071
-3.006 5.196 2.408
-7.297 1.720 5.708
-6.632 -0.286 2.070
```

## Properties
Total DFT energy (no corrections)   -3.119 eV per atom
Crystal system   hexagonal
M_tot   0.0 μB/cell
E_form   -0.59 eV/atom